The following is a GGA-PBE calculation of crystalline BaBeO2F at its relaxed geometry, from Alexandria via LeMat-Bulk.

Structure (extended XYZ):
```
5
Lattice="3.685 0.000 0.000 0.000 3.685 0.000 0.000 0.000 4.468" Properties=species:S:1:pos:R:3 pbc="T T T"
Ba 1.843 1.843 2.234
O 1.843 0.000 0.000
O 0.000 1.843 0.000
Be 0.000 0.000 0.000
F 0.000 0.000 2.234
```

Computed properties:
**Calculated total energy**: -28.99 eV/cell
**Magnetic moment**: 0.999 μB per cell
**D(E_F)**: 0.32 states/eV per cell
**Energy relative to the elements, uncorrected**: -2311 meV/atom
**Calculated volume**: 60.7 Å³ per cell

The following is a GGA-PBE calculation of crystalline BaBeO2F at its relaxed geometry, from Alexandria via LeMat-Bulk.

Structure (extended XYZ):
```
5
Lattice="4.765 0.000 0.000 0.000 4.765 0.000 0.000 0.000 4.902" Properties=species:S:1:pos:R:3 pbc="T T T"
Ba 0.000 0.000 0.000
F 0.000 0.000 2.451
O 2.383 0.000 0.000
O 0.000 2.383 0.000
Be 2.383 2.383 2.451
```

Computed properties:
**Calculated total energy**: -18.80 eV/cell
**Magnetic moment**: 0.985 μB per cell
**D(E_F)**: 2.45 states/eV per cell
**Energy relative to the elements, uncorrected**: -272 meV/atom
**Calculated volume**: 111.3 Å³ per cell

The following is a GGA-PBE calculation of crystalline BaBeOF2 at its relaxed geometry, from Alexandria via LeMat-Bulk.

Structure (extended XYZ):
```
5
Lattice="-4.549 1.564 -1.234 0.116 -2.863 -4.056 -1.978 -3.724 2.572" Properties=species:S:1:pos:R:3 pbc="T T T"
O -0.989 -1.862 1.286
F -2.274 0.782 -0.617
F 0.058 -1.431 -2.028
Be -3.205 -2.511 -1.359
Ba 0.000 0.000 0.000
```

Computed properties:
**Calculated total energy**: -19.33 eV/cell
**Magnetic moment**: 0.000 μB per cell
**D(E_F)**: 6.63 states/eV per cell
**Energy relative to the elements, uncorrected**: -996 meV/atom
**Calculated volume**: 121.8 Å³ per cell

The following is a GGA-PBE calculation of crystalline BaBeOF2 at its relaxed geometry, from Alexandria via LeMat-Bulk.

Structure (extended XYZ):
```
5
Lattice="4.272 0.000 0.000 0.000 4.272 0.000 0.000 0.000 3.357" Properties=species:S:1:pos:R:3 pbc="T T T"
F 2.136 0.000 0.000
F 0.000 2.136 0.000
O 0.000 0.000 1.679
Be 0.000 0.000 0.000
Ba 2.136 2.136 1.679
```

Computed properties:
**Calculated total energy**: -28.86 eV/cell
**Magnetic moment**: 0.000 μB per cell
**D(E_F)**: 0.00 states/eV per cell
**Energy relative to the elements, uncorrected**: -2901 meV/atom
**Calculated volume**: 61.3 Å³ per cell

The following is a GGA-PBE calculation of crystalline BaBePO4F at its relaxed geometry, from Alexandria via LeMat-Bulk.

Structure (extended XYZ):
```
16
Lattice="-0.055 2.096 -4.074 4.758 -3.346 -6.530 -5.017 -4.564 -1.129" Properties=species:S:1:pos:R:3 pbc="T T T"
O -0.762 -3.049 -5.149
O 4.681 -2.257 -8.574
O -3.410 -2.993 -1.276
O -2.739 -4.689 -6.001
O -1.184 0.206 -4.823
O 1.492 -4.306 -6.291
O -2.493 -4.054 -3.581
O -0.660 -3.280 -8.878
Be -3.663 -3.362 -2.807
Be 0.522 -4.145 -4.991
Ba 0.353 -1.378 -2.980
Ba 3.659 -2.433 -6.061
F 1.424 -1.572 -7.915
F -2.485 -1.082 -3.141
P -1.726 -4.267 -4.916
P 2.154 -3.426 -10.938
```

Computed properties:
**Calculated total energy**: -108.91 eV/cell
**Magnetic moment**: 0.051 μB per cell
**D(E_F)**: 0.00 states/eV per cell
**Energy relative to the elements, uncorrected**: -2711 meV/atom
**Calculated volume**: 238.2 Å³ per cell

The following is a GGA-PBE calculation of crystalline Ba2BeSO4F4 at its relaxed geometry, from Alexandria via LeMat-Bulk.

Structure (extended XYZ):
```
24
Lattice="8.666 0.000 0.000 0.000 5.956 0.101 0.000 0.636 7.421" Properties=species:S:1:pos:R:3 pbc="T T T"
O 8.602 5.390 7.133
O 6.975 5.728 1.147
O 2.642 0.864 6.375
O 4.269 1.201 0.389
O 8.444 1.874 7.034
O 4.111 4.717 0.488
O 2.352 5.906 5.353
O 6.685 0.685 2.169
Be 1.326 3.253 3.000
Be 5.659 3.338 4.522
F 1.675 4.786 3.005
F 6.008 1.805 4.517
F 8.653 3.017 2.235
F 6.762 4.213 5.216
F 1.112 2.776 4.486
F 4.320 3.574 5.287
F 5.445 3.815 3.035
F 2.429 2.378 2.306
S 8.579 5.979 0.603
S 4.246 0.613 6.919
Ba 2.139 3.598 6.848
Ba 6.472 2.993 0.674
Ba 4.039 6.159 3.213
Ba 8.372 0.433 4.309
```

Computed properties:
**Calculated total energy**: -140.30 eV/cell
**Magnetic moment**: 0.000 μB per cell
**D(E_F)**: 0.00 states/eV per cell
**Energy relative to the elements, uncorrected**: -2594 meV/atom
**Calculated volume**: 382.5 Å³ per cell